(1)
## Ba4CdPb3 (GGA-PBE)

Data for an optimized crystal structure of Ba4CdPb3.

Summary:
The density of states at the Fermi level is 0.637 states/eV/atom. The energy of formation from the pure elements comes out at -0.50 eV/atom. The spin magnetization is 0.00 μB/f.u. Its total energy is -2.97 eV/atom.

a b c (Å): 4.9472 5.2596 13.0638
angles (deg): 90.00 90.00 90.00
Closest atoms and distances in Å follow each position.
Space group Pmm2 (No. 25)
Unique sites:
Ba: 0.0000 0.0000 0.0000  5 Pb 3.70-3.75, 2 Cd 3.80
Ba: 0.0000 0.5000 0.4962  6 Pb 3.69-3.79, 1 Cd 3.84
Ba: 0.5000 0.0000 0.7281  4 Cd 3.70, 3 Pb 3.79-3.81
Ba: 0.5000 0.5000 0.2255  7 Pb 3.70-3.82
Cd: 0.0000 0.5000 0.7902  2 Pb 3.15
Pb: 0.0000 0.0000 0.2869  2 Pb 3.17
Pb: 0.5000 0.0000 0.4381  2 Pb 3.17
Pb: 0.5000 0.5000 0.9390  2 Cd 3.15

---

(2)
## RbMnCdCl6 (GGA-PBE)

Data for an optimized crystal structure of RbMnCdCl6.

Summary:
The density of states at the Fermi level is 0.701 states/eV/atom. The spin magnetization is 4.00 μB/f.u. The calculation puts the raw formation energy at -1.228 eV/atom. Its total energy is -3.69 eV/atom.

a b c (Å): 6.6691 6.6691 14.4644
angles (deg): 90.00 90.00 120.00
Closest atoms and distances in Å follow each position.
Space group P-31c (No. 163)
Unique sites:
Rb: 0.0000 0.0000 0.0000  6 Cl 3.34
Mn: 0.3333 0.6667 0.2500  6 Cl 2.41
Cd: 0.3333 0.6667 0.7500  6 Cl 2.66
Cl: 0.0287 0.3900 0.1519  1 Mn 2.41, 1 Cd 2.66

---

(3)
## LaPr6DyHo2 (GGA-PBE)

Data for an optimized crystal structure of LaPr6DyHo2.

Summary:
The density of states at the Fermi level is 1.501 states/eV/atom. The energy of formation from the pure elements comes out at 0.11 eV/atom. The spin magnetization is 0.00 μB/f.u. Its total energy is -4.63 eV/atom.

a b c (Å): 9.3538 15.4247 9.8548
angles (deg): 90.00 98.34 90.00
Closest atoms and distances in Å follow each position.
Space group C2/c (No. 15)
Unique sites:
La: 0.0000 0.0942 0.2500  6 Pr 3.52-3.64, 2 Ho 3.64
Pr: 0.0648 0.3254 0.4449  7 Pr 3.48-3.89, 2 Ho 3.48-3.87, 2 Dy 3.70-3.86
Pr: 0.0977 0.1063 0.6205  3 Pr 3.32-3.48, 3 Ho 3.36-3.52, 2 La 3.52-3.64
Pr: 0.2079 0.2750 0.8165  2 Pr 3.32-3.67, 1 La 3.53, 1 Ho 3.54, 1 Dy 3.59
Dy: 0.0000 0.4701 0.7500  4 Ho 3.44, 4 Pr 3.59-3.70
Ho: 0.2415 0.4525 0.0465  6 Pr 3.36-3.76, 2 Dy 3.44, 1 La 3.64

---

(4)
## BaNpRhO6 (GGA-PBE)

Data for an optimized crystal structure of BaNpRhO6.

Summary:
The density of states at the Fermi level is 0.192 states/eV/atom. The spin magnetization is 0.00 μB/f.u. The calculation puts the raw formation energy at -2.205 eV/atom. Its total energy is -7.98 eV/atom.

a b c (Å): 5.3061 5.3061 6.0828
angles (deg): 90.00 90.00 120.00
Closest atoms and distances in Å follow each position.
Space group P312 (No. 149)
Unique sites:
Ba: 0.0000 0.0000 0.0000  6 O 2.69
Np: 0.6667 0.3333 0.5000  6 O 2.05
Rh: 0.3333 0.6667 0.5000  6 O 2.06
O: 0.3641 0.0010 0.6910  1 Np 2.05, 1 Rh 2.06

---

(5)
## NpSc3Sb4 (GGA-PBE)

Data for an optimized crystal structure of NpSc3Sb4.

Summary:
The density of states at the Fermi level is 1.492 states/eV/atom. The spin magnetization is 3.86 μB/f.u. The calculation puts the raw formation energy at -0.722 eV/atom. Its total energy is -6.78 eV/atom.

a b c (Å): 5.9940 5.9940 11.9113
angles (deg): 90.00 90.00 90.00
Closest atoms and distances in Å follow each position.
Space group I4/mmm (No. 139)
Unique sites:
Np: 0.0000 0.0000 0.0000  6 Sb 3.00-3.03
Sc: 0.0000 0.0000 0.5000  6 Sb 2.92-3.00
Sc: 0.0000 0.5000 0.2500  6 Sb 2.98-3.00
Sb: 0.0000 0.0000 0.2545  5 Sc 2.92-3.00, 1 Np 3.03
Sb: 0.0000 0.5000 0.0000  4 Sc 2.98-3.00, 2 Np 3.00

---

(6)
## KSc2Ni (GGA-PBE)

Data for an optimized crystal structure of KSc2Ni.

Summary:
The density of states at the Fermi level is 1.461 states/eV/atom. The energy of formation from the pure elements comes out at 0.70 eV/atom. The spin magnetization is 0.53 μB/f.u. Its total energy is -4.18 eV/atom.

a b c (Å): 4.5574 4.5574 4.4515
angles (deg): 90.00 90.00 90.00
Closest atoms and distances in Å follow each position.
Space group P4/mmm (No. 123)
Unique sites:
K: 0.0000 0.0000 0.0000  8 Sc 3.19, 4 Ni 3.22
Sc: 0.0000 0.5000 0.5000  4 K 3.19, 4 Ni 3.19, 4 Sc 3.22
Ni: 0.5000 0.5000 0.0000  8 Sc 3.19, 4 K 3.22

---

(7)
## Ac5PtRh2Au (GGA-PBE)

Data for an optimized crystal structure of Ac5PtRh2Au.

Summary:
The density of states at the Fermi level is 0.698 states/eV/atom. The energy of formation from the pure elements comes out at -0.60 eV/atom. The spin magnetization is 0.00 μB/f.u. Its total energy is -5.55 eV/atom.

a b c (Å): 4.4100 18.4499 14.5444
angles (deg): 90.00 90.00 90.00
Closest atoms and distances in Å follow each position.
Space group Cmc2_1 (No. 36)
Unique sites:
Ac: 0.0000 0.0108 0.0000  2 Rh 3.04-3.21, 2 Au 3.09
Ac: 0.0000 0.2917 0.2338  2 Pt 3.15, 1 Au 3.20, 3 Rh 3.30-3.37
Ac: 0.0000 0.3106 0.5407  3 Rh 3.02-3.07, 2 Pt 3.15, 1 Au 3.16
Ac: 0.0000 0.3423 0.9437  2 Rh 2.99, 1 Pt 3.01
Ac: 0.0000 0.4744 0.7163  2 Rh 2.93, 1 Au 3.01
Pt: 0.0000 0.1854 0.8858  2 Au 2.98, 5 Ac 3.01-3.15
Rh: 0.0000 0.1194 0.1575  5 Ac 2.93-3.07
Rh: 0.0000 0.1504 0.5822  6 Ac 2.99-3.30
Au: 0.0000 0.4230 0.3771  2 Pt 2.98, 5 Ac 3.01-3.20

---

(8)
## Zr4NiHg (GGA-PBE)

Data for an optimized crystal structure of Zr4NiHg.

Summary:
The density of states at the Fermi level is 1.006 states/eV/atom. The energy of formation from the pure elements comes out at 0.43 eV/atom. The spin magnetization is 0.00 μB/f.u. Its total energy is -6.28 eV/atom.

a b c (Å): 8.0115 8.0115 8.0115
angles (deg): 90.00 90.00 90.00
Closest atoms and distances in Å follow each position.
Space group F-43m (No. 216)
Unique sites:
Zr: 0.1253 0.1253 0.1253  6 Zr 2.82-2.84
Ni: 0.0000 0.0000 0.5000  12 Zr 3.32, 4 Hg 3.47
Hg: 0.2500 0.2500 0.7500  12 Zr 3.32, 4 Ni 3.47

---

(9)
## NdLu2Hf (GGA-PBE)

Data for an optimized crystal structure of NdLu2Hf.

Summary:
The density of states at the Fermi level is 1.485 states/eV/atom. The energy of formation from the pure elements comes out at 0.38 eV/atom. The spin magnetization is 0.00 μB/f.u. Its total energy is -5.56 eV/atom.

a b c (Å): 3.3202 3.3202 36.0298
angles (deg): 90.00 90.00 120.00
Closest atoms and distances in Å follow each position.
Space group R-3m (No. 166, hexagonal axes)
Unique sites:
Nd: 0.0000 0.0000 0.0000  6 Nd 3.32, 6 Lu 3.49
Lu: 0.0000 0.0000 0.4144  1 Hf 3.09, 6 Lu 3.32
Hf: 0.0000 0.0000 0.5000  2 Lu 3.09, 6 Hf 3.32